A plane-wave DFT calculation with PBE was carried out for Tl5Au4 after structural relaxation.

a = 5.790 Å, b = 5.790 Å, c = 11.421 Å
α = 107.07°, β = 107.07°, γ = 40.43°
Atoms (fractional coordinates):
Tl: 0.000 0.000 0.000
Tl: 0.113 0.113 0.396
Tl: 0.242 0.242 0.817
Tl: 0.758 0.758 0.183
Tl: 0.887 0.887 0.604
Au: 0.384 0.384 0.395
Au: 0.472 0.472 0.183
Au: 0.528 0.528 0.817
Au: 0.616 0.616 0.605

Values from the calculation:
The value obtained for the total moment is 0.0 μB per formula unit. The calculation puts the mass density at 12.74 g/cm3. As for the crystal system: monoclinic. As for the energy above the most stable polymorph in this dataset: 0.0 meV/atom. For the raw total energy, the calculation gives -2.79 eV/atom. Its formation energy is -0.021 eV/atom.